Entry 1:
VASP calculation (PBE-GGA) on crystalline ErTh5In2 at its relaxed geometry.

Summary:
calculated formation energy	-0.18	eV/atom
theoretical density	10.81	g cm⁻³
density of states at the Fermi level	14.0	states/eV/cell
spin magnetization	0.00	μB per atom

Cell: 6.994 13.997 4.887 Å, 90.00 90.00 90.00°
Space group Pbam (No. 55)
Asymmetric unit:
1 Er 0.000 0.000 0.000
2 Th 0.000 0.500 0.000
3 Th 0.013 0.250 0.000
4 Th 0.241 0.628 0.500
5 In 0.237 0.880 0.500


Entry 2:
VASP calculation (PBE-GGA) on crystalline Er2Th2In at its relaxed geometry.

Summary:
calculated formation energy	0.45	eV/atom
theoretical density	9.09	g cm⁻³
density of states at the Fermi level	13.9	states/eV/cell
spin magnetization	0.00	μB per atom

Cell: 4.487 4.487 16.574 Å, 90.00 90.00 90.00°
Space group I4/mmm (No. 139)
Asymmetric unit:
1 Er 0.000 0.000 0.092
2 Th 0.000 0.500 0.250
3 In 0.000 0.000 0.500


Entry 3:
VASP calculation (PBE-GGA) on crystalline Er2ThIn9 at its relaxed geometry.

Summary:
calculated formation energy	-0.37	eV/atom
theoretical density	8.73	g cm⁻³
density of states at the Fermi level	4.1	states/eV/cell
spin magnetization	0.00	μB per atom

Cell: 4.662 4.662 13.999 Å, 90.00 90.00 90.00°
Space group P4/mmm (No. 123)
Asymmetric unit:
1 Er 0.000 0.000 0.164
2 Th 0.000 0.000 0.500
3 In 0.000 0.500 0.000
4 In 0.000 0.500 0.327
5 In 0.500 0.500 0.164
6 In 0.500 0.500 0.500


Entry 4:
VASP calculation (PBE-GGA) on crystalline Er2ThIn2 at its relaxed geometry.

Summary:
calculated formation energy	-0.11	eV/atom
theoretical density	8.50	g cm⁻³
density of states at the Fermi level	6.2	states/eV/cell
spin magnetization	0.00	μB per atom

Cell: 5.2523 5.2523 6.5084 Å, 90.00 90.00 120.00°
Space group P-3m1 (No. 164)
Asymmetric unit:
1 Er 0.3333 0.6667 0.1633
2 Th 0.0000 0.0000 0.5000
3 In 0.3333 0.6667 0.6886


Entry 5:
VASP calculation (PBE-GGA) on crystalline ErTh3In4 at its relaxed geometry.

Summary:
calculated formation energy	-0.26	eV/atom
theoretical density	9.66	g cm⁻³
density of states at the Fermi level	7.4	states/eV/cell
relative energy among the computed polymorphs	0.0000	eV per atom
spin magnetization	0.04	μB per atom

Cell: 3.328 5.852 11.678 Å, 90.00 90.00 90.00°
Space group Pmmm (No. 47)
Asymmetric unit:
1 Er 0.000 0.000 0.000
2 Th 0.000 0.000 0.500
3 Th 0.000 0.500 0.250
4 In 0.500 0.000 0.242
5 In 0.500 0.500 0.000
6 In 0.500 0.500 0.500


Entry 6:
VASP calculation (PBE-GGA) on crystalline Er7ThIn4 at its relaxed geometry.

Summary:
calculated formation energy	-0.04	eV/atom
theoretical density	8.84	g cm⁻³
density of states at the Fermi level	25.5	states/eV/cell
spin magnetization	0.00	μB per atom

Cell: 14.451 5.727 10.052 Å, 90.00 122.75 90.00°
Space group C2/m (No. 12)
Asymmetric unit:
1 Er 0.000 0.000 0.000
2 Er 0.066 0.500 0.400
3 Er 0.207 0.500 0.880
4 Er 0.231 0.000 0.677
5 Th 0.000 0.500 0.000
6 In 0.056 0.000 0.743
7 In 0.182 0.000 0.336


Entry 7:
VASP calculation (PBE-GGA) on crystalline ErThIn at its relaxed geometry.

Summary:
calculated formation energy	-0.02	eV/atom
theoretical density	9.61	g cm⁻³
density of states at the Fermi level	12.5	states/eV/cell
relative energy among the computed polymorphs	0.2500	eV per atom
spin magnetization	0.00	μB per atom

Cell: 4.971 11.303 6.323 Å, 90.00 90.00 90.00°
Space group Cmcm (No. 63)
Asymmetric unit:
1 Er 0.000 0.083 0.250
2 Th 0.000 0.206 0.750
3 In 0.000 0.500 0.000


Entry 8:
VASP calculation (PBE-GGA) on crystalline ErThIn at its relaxed geometry.

Summary:
calculated formation energy	-0.27	eV/atom
theoretical density	9.94	g cm⁻³
density of states at the Fermi level	8.0	states/eV/cell
relative energy among the computed polymorphs	0.0000	eV per atom
spin magnetization	0.00	μB per atom

Cell: 5.4648 5.4648 6.6395 Å, 90.00 90.00 120.00°
Space group P6_3/mmc (No. 194)
Asymmetric unit:
1 Er 0.3333 0.6667 0.2500
2 Th 0.0000 0.0000 0.0000
3 In 0.3333 0.6667 0.7500


Entry 9:
VASP calculation (PBE-GGA) on crystalline Er3ThIn3 at its relaxed geometry.

Summary:
calculated formation energy	-0.15	eV/atom
theoretical density	9.17	g cm⁻³
density of states at the Fermi level	11.2	states/eV/cell
spin magnetization	0.00	μB per atom

Cell: 9.0166 9.0166 5.5471 Å, 90.00 90.00 120.00°
Space group P6_3/m (No. 176)
Asymmetric unit:
1 Er 0.0944 0.4543 0.2500
2 Th 0.3333 0.6667 0.7500
3 In 0.0433 0.2315 0.7500


Entry 10:
VASP calculation (PBE-GGA) on crystalline Er3Th2In4 at its relaxed geometry.

Summary:
calculated formation energy	-0.22	eV/atom
theoretical density	9.07	g cm⁻³
density of states at the Fermi level	27.5	states/eV/cell
spin magnetization	0.00	μB per atom

Cell: 6.869 17.120 8.871 Å, 90.00 90.00 90.00°
Space group Cmce (No. 64)
Asymmetric unit:
1 Er 0.000 0.000 0.000
2 Er 0.250 0.220 0.250
3 Th 0.000 0.107 0.585
4 In 0.000 0.178 0.954
5 In 0.250 0.044 0.250


Entry 11:
VASP calculation (PBE-GGA) on crystalline Er4ThIn5 at its relaxed geometry.

Summary:
calculated formation energy	-0.41	eV/atom
theoretical density	9.24	g cm⁻³
density of states at the Fermi level	7.9	states/eV/cell
spin magnetization	0.00	μB per atom

Cell: 3.562 3.562 20.899 Å, 90.00 90.00 90.00°
Space group P4/mmm (No. 123)
Asymmetric unit:
1 Er 0.000 0.000 0.098
2 Er 0.000 0.000 0.294
3 Th 0.000 0.000 0.500
4 In 0.500 0.500 0.000
5 In 0.500 0.500 0.196
6 In 0.500 0.500 0.391


Entry 12:
VASP calculation (PBE-GGA) on crystalline Er12ThIn3 at its relaxed geometry.

Summary:
calculated formation energy	-0.18	eV/atom
theoretical density	9.39	g cm⁻³
density of states at the Fermi level	21.6	states/eV/cell
spin magnetization	0.00	μB per atom

Cell: 4.836 4.836 19.533 Å, 90.00 90.00 90.00°
Space group P4/mmm (No. 123)
Asymmetric unit:
1 Er 0.000 0.000 0.000
2 Er 0.000 0.000 0.245
3 Er 0.000 0.000 0.500
4 Er 0.000 0.500 0.123
5 Er 0.000 0.500 0.370
6 Th 0.500 0.500 0.500
7 In 0.500 0.500 0.000
8 In 0.500 0.500 0.244


Entry 13:
VASP calculation (PBE-GGA) on crystalline ErThIn at its relaxed geometry.

Summary:
calculated formation energy	-0.20	eV/atom
theoretical density	9.64	g cm⁻³
density of states at the Fermi level	6.3	states/eV/cell
relative energy among the computed polymorphs	0.0684	eV per atom
spin magnetization	0.00	μB per atom

Cell: 3.593 3.593 13.720 Å, 90.00 90.00 90.00°
Space group I4mm (No. 107)
Asymmetric unit:
1 Er 0.000 0.000 0.000
2 Th 0.000 0.000 0.315
3 In 0.000 0.000 0.649


Entry 14:
VASP calculation (PBE-GGA) on crystalline Er8Th2In at its relaxed geometry.

Summary:
calculated formation energy	0.09	eV/atom
theoretical density	9.38	g cm⁻³
density of states at the Fermi level	30.7	states/eV/cell
spin magnetization	0.00	μB per atom

Cell: 16.018 6.518 6.646 Å, 90.00 101.99 90.00°
Space group C2/m (No. 12)
Asymmetric unit:
1 Er 0.081 0.241 0.382
2 Er 0.095 0.000 0.921
3 Er 0.248 0.500 0.319
4 Th 0.189 0.500 0.801
5 In 0.000 0.500 0.000


Entry 15:
VASP calculation (PBE-GGA) on crystalline ErTh4In5 at its relaxed geometry.

Summary:
calculated formation energy	-0.32	eV/atom
theoretical density	9.87	g cm⁻³
density of states at the Fermi level	12.1	states/eV/cell
spin magnetization	0.01	μB per atom

Cell: 3.520 3.520 22.681 Å, 90.00 90.00 90.00°
Space group P4/mmm (No. 123)
Asymmetric unit:
1 Er 0.000 0.000 0.000
2 Th 0.000 0.000 0.194
3 Th 0.000 0.000 0.398
4 In 0.500 0.500 0.093
5 In 0.500 0.500 0.296
6 In 0.500 0.500 0.500


Entry 16:
VASP calculation (PBE-GGA) on crystalline ErTh12In3 at its relaxed geometry.

Summary:
calculated formation energy	-0.09	eV/atom
theoretical density	11.09	g cm⁻³
density of states at the Fermi level	21.6	states/eV/cell
spin magnetization	0.00	μB per atom

Cell: 4.966 4.966 20.009 Å, 90.00 90.00 90.00°
Space group P4/mmm (No. 123)
Asymmetric unit:
1 Er 0.000 0.000 0.000
2 Th 0.000 0.500 0.129
3 Th 0.000 0.500 0.376
4 Th 0.500 0.500 0.000
5 Th 0.500 0.500 0.252
6 Th 0.500 0.500 0.500
7 In 0.000 0.000 0.253
8 In 0.000 0.000 0.500


Entry 17:
VASP calculation (PBE-GGA) on crystalline Er4ThIn2 at its relaxed geometry.

Summary:
calculated formation energy	0.13	eV/atom
theoretical density	8.17	g cm⁻³
density of states at the Fermi level	26.7	states/eV/cell
spin magnetization	0.00	μB per atom

Cell: 5.0819 5.0819 30.8429 Å, 90.00 90.00 120.00°
Space group R-3m (No. 166, hexagonal axes)
Asymmetric unit:
1 Er 0.0000 0.0000 0.1112
2 Er 0.0000 0.0000 0.2949
3 Th 0.0000 0.0000 0.5000
4 In 0.0000 0.0000 0.3981


Entry 18:
VASP calculation (PBE-GGA) on crystalline Er6ThIn at its relaxed geometry.

Summary:
calculated formation energy	-0.09	eV/atom
theoretical density	9.51	g cm⁻³
density of states at the Fermi level	12.9	states/eV/cell
spin magnetization	0.00	μB per atom

Cell: 4.894 4.894 9.841 Å, 90.00 90.00 90.00°
Space group P4/mmm (No. 123)
Asymmetric unit:
1 Er 0.000 0.000 0.000
2 Er 0.000 0.000 0.500
3 Er 0.000 0.500 0.245
4 Th 0.500 0.500 0.500
5 In 0.500 0.500 0.000


Entry 19:
VASP calculation (PBE-GGA) on crystalline ErThIn2 at its relaxed geometry.

Summary:
calculated formation energy	-0.22	eV/atom
theoretical density	9.12	g cm⁻³
density of states at the Fermi level	11.7	states/eV/cell
spin magnetization	0.00	μB per atom

Cell: 3.5569 3.5569 31.3617 Å, 90.00 90.00 120.00°
Space group R-3m (No. 166, hexagonal axes)
Asymmetric unit:
1 Er 0.0000 0.0000 0.0000
2 Th 0.0000 0.0000 0.5000
3 In 0.0000 0.0000 0.2539


Entry 20:
VASP calculation (PBE-GGA) on crystalline ErThIn2 at its relaxed geometry.

Summary:
calculated formation energy	-0.34	eV/atom
theoretical density	9.44	g cm⁻³
density of states at the Fermi level	4.0	states/eV/cell
spin magnetization	0.00	μB per atom

Cell: 4.943 4.943 4.526 Å, 90.00 90.00 90.00°
Space group P4/mmm (No. 123)
Asymmetric unit:
1 Er 0.000 0.000 0.000
2 Th 0.500 0.500 0.000
3 In 0.000 0.500 0.500


Entry 21:
VASP calculation (PBE-GGA) on crystalline Er3ThIn2 at its relaxed geometry.

Summary:
calculated formation energy	-0.31	eV/atom
theoretical density	9.64	g cm⁻³
density of states at the Fermi level	4.5	states/eV/cell
spin magnetization	0.02	μB per atom

Cell: 3.588 3.588 12.893 Å, 90.00 90.00 90.00°
Space group P4/mmm (No. 123)
Asymmetric unit:
1 Er 0.000 0.000 0.000
2 Er 0.000 0.000 0.316
3 Th 0.500 0.500 0.500
4 In 0.500 0.500 0.159


Entry 22:
VASP calculation (PBE-GGA) on crystalline ErThTlIn at its relaxed geometry.

Summary:
calculated formation energy	-0.27	eV/atom
theoretical density	10.71	g cm⁻³
density of states at the Fermi level	7.3	states/eV/cell
relative energy among the computed polymorphs	0.0000	eV per atom
spin magnetization	0.00	μB per atom

Cell: 5.039 5.039 8.772 Å, 90.00 90.00 90.00°
Space group I-4m2 (No. 119)
Asymmetric unit:
1 Er 0.000 0.000 0.000
2 Th 0.000 0.000 0.500
3 Tl 0.000 0.500 0.250
4 In 0.000 0.500 0.750


Entry 23:
VASP calculation (PBE-GGA) on crystalline ErThTlIn at its relaxed geometry.

Summary:
calculated formation energy	-0.23	eV/atom
theoretical density	10.60	g cm⁻³
density of states at the Fermi level	16.4	states/eV/cell
relative energy among the computed polymorphs	0.0351	eV per atom
spin magnetization	0.00	μB per atom

Cell: 7.664 7.664 7.664 Å, 90.00 90.00 90.00°
Space group F-43m (No. 216)
Asymmetric unit:
1 Er 0.000 0.000 0.000
2 Th 0.000 0.000 0.500
3 Tl 0.250 0.250 0.250
4 In 0.250 0.250 0.750


Entry 24:
VASP calculation (PBE-GGA) on crystalline YErThIn at its relaxed geometry.

Summary:
calculated formation energy	-0.02	eV/atom
theoretical density	8.68	g cm⁻³
density of states at the Fermi level	28.4	states/eV/cell
spin magnetization	0.28	μB per atom

Cell: 7.729 7.729 7.729 Å, 90.00 90.00 90.00°
Space group F-43m (No. 216)
Asymmetric unit:
1 Y 0.000 0.000 0.000
2 Er 0.000 0.000 0.500
3 Th 0.250 0.250 0.750
4 In 0.250 0.250 0.250